# 1
# CaZrNi

Crystalline CaZrNi at its relaxed geometry (PBEsol, Alexandria).

Formation energy from the elements = -4 kJ per mole of atoms

Cell lengths 3.287, 3.287, 6.504 Å; angles 104.64, 104.64, 90.00 degrees
Sites, in units of the cell vectors:
1 Ni 0.695 0.695 0.390
2 Ca 0.019 0.019 0.037
3 Zr 0.287 0.287 0.573

---

# 2
# CaNpP2O8

Crystalline CaNpP2O8 at its relaxed geometry (PBEsol, Alexandria).

Raw total energy = -8.48 eV per atom

Cell lengths 6.290, 6.561, 6.827 Å; angles 88.81, 88.72, 76.37 degrees
Site moments in Bohr magnetons follow the coordinates.
Sites, in units of the cell vectors:
1 Ca 0.913 0.285 0.350  0.00
2 Ca 0.087 0.715 0.650  0.00
3 Np 0.385 0.773 0.170  3.07
4 Np 0.615 0.227 0.830  3.07
5 P 0.392 0.301 0.331  0.00
6 P 0.881 0.806 0.159  0.00
7 P 0.608 0.699 0.669  0.00
8 P 0.119 0.194 0.841  0.00
9 O 0.197 0.486 0.375  -0.01
10 O 0.682 0.976 0.086  -0.02
11 O 0.803 0.514 0.625  -0.01
12 O 0.318 0.024 0.914  -0.02
13 O 0.299 0.109 0.297  -0.01
14 O 0.763 0.634 0.226  -0.02
15 O 0.701 0.891 0.703  -0.01
16 O 0.237 0.366 0.774  -0.02
17 O 0.937 0.264 0.998  -0.01
18 O 0.433 0.743 0.509  -0.01
19 O 0.063 0.736 0.002  -0.01
20 O 0.567 0.257 0.491  -0.01
21 O 0.503 0.378 0.145  -0.02
22 O 0.000 0.891 0.324  -0.01
23 O 0.497 0.622 0.855  -0.02
24 O 0.000 0.109 0.676  -0.01

---

# 3
# CaO2

Crystalline CaO2 at its relaxed geometry (PBEsol, Alexandria).

Raw total energy = -6.13 eV per atom

Cell lengths 3.254, 3.254, 4.081 Å; angles 113.50, 113.50, 90.00 degrees
Sites, in units of the cell vectors:
1 Ca 0.500 0.500 0.000
2 O 0.111 0.111 0.222
3 O 0.889 0.889 0.778

---

# 4
# CaO2

Crystalline CaO2 at its relaxed geometry (PBEsol, Alexandria).

Raw total energy = -6.22 eV per atom

Cell lengths 3.629, 3.830, 6.390 Å; angles 81.30, 73.50, 61.72 degrees
Sites, in units of the cell vectors:
1 Ca 0.357 0.750 0.250
2 Ca 0.643 0.250 0.750
3 O 0.887 0.600 0.911
4 O 0.602 0.100 0.411
5 O 0.398 0.900 0.589
6 O 0.113 0.400 0.089

---

# 5
# CaOsRuO2

Crystalline CaOsRuO2 at its relaxed geometry (PBEsol, Alexandria).

Raw total energy = -6.40 eV per atom

Cell lengths 3.774, 3.774, 6.144 Å; angles 90.00, 90.00, 90.00 degrees
Site moments in Bohr magnetons follow the coordinates.
Sites, in units of the cell vectors:
1 Ru 0.000 0.000 0.000  0.10
2 Ca 0.000 0.000 0.500  -0.02
3 Os 0.500 0.500 0.500  2.14
4 O 0.000 0.500 0.000  0.02
5 O 0.500 0.000 0.000  0.02

---

# 6
# Ca2ScOsO6

Crystalline Ca2ScOsO6 at its relaxed geometry (PBEsol, Alexandria).

Raw total energy = -7.99 eV per atom

Cell lengths 5.432, 5.613, 7.777 Å; angles 90.00, 89.77, 90.00 degrees
Site moments in Bohr magnetons follow the coordinates.
Sites, in units of the cell vectors:
1 Ca 0.986 0.945 0.250  0.01
2 Ca 0.486 0.555 0.750  0.01
3 Ca 0.014 0.055 0.750  0.01
4 Ca 0.514 0.445 0.250  0.01
5 Sc 0.500 0.000 0.000  0.05
6 Sc 0.000 0.500 0.500  0.05
7 Os 0.500 0.000 0.500  1.90
8 Os 0.000 0.500 0.000  1.90
9 O 0.096 0.532 0.242  0.11
10 O 0.596 0.968 0.742  0.11
11 O 0.904 0.468 0.758  0.11
12 O 0.404 0.032 0.258  0.11
13 O 0.708 0.697 0.049  0.12
14 O 0.208 0.803 0.549  0.12
15 O 0.292 0.303 0.951  0.12
16 O 0.792 0.197 0.451  0.12
17 O 0.192 0.789 0.948  0.11
18 O 0.692 0.711 0.448  0.11
19 O 0.808 0.211 0.052  0.11
20 O 0.308 0.289 0.552  0.11

---

# 7
# CaOsSe2O

Crystalline CaOsSe2O at its relaxed geometry (PBEsol, Alexandria).

Raw total energy = -5.31 eV per atom

Cell lengths 4.169, 4.465, 4.465 Å; angles 90.00, 90.00, 90.00 degrees
Sites, in units of the cell vectors:
1 Ca 0.500 0.000 0.000
2 Os 0.500 0.500 0.500
3 O 0.000 0.000 0.000
4 Se 0.000 0.000 0.500
5 Se 0.000 0.500 0.000

---

# 8
# Sr2CaOsO6

Crystalline Sr2CaOsO6 at its relaxed geometry (PBEsol, Alexandria).

Raw total energy = -7.20 eV per atom

Cell lengths 5.800, 5.800, 5.800 Å; angles 60.00, 60.00, 60.00 degrees
Site moments in Bohr magnetons follow the coordinates.
Sites, in units of the cell vectors:
1 Sr 0.250 0.250 0.250  0.01
2 Sr 0.750 0.750 0.750  0.01
3 Ca 0.500 0.500 0.500  0.01
4 Os 0.000 0.000 0.000  1.05
5 O 0.767 0.233 0.233  0.05
6 O 0.233 0.767 0.767  0.05
7 O 0.767 0.233 0.767  0.05
8 O 0.233 0.767 0.233  0.05
9 O 0.767 0.767 0.233  0.05
10 O 0.233 0.233 0.767  0.05

---

# 9
# Ca2OsWO

Crystalline Ca2OsWO at its relaxed geometry (PBEsol, Alexandria).

Raw total energy = -5.70 eV per atom

Cell lengths 4.489, 5.621, 5.621 Å; angles 90.00, 90.00, 90.00 degrees
Site moments in Bohr magnetons follow the coordinates.
Sites, in units of the cell vectors:
1 Ca 0.000 0.000 0.500  -0.01
2 Ca 0.000 0.500 0.000  -0.01
3 Os 0.500 0.000 0.000  0.19
4 O 0.500 0.500 0.500  0.59
5 W 0.000 0.000 0.000  0.05

---

# 10
# Ca3PO

Crystalline Ca3PO at its relaxed geometry (PBEsol, Alexandria).

Raw total energy = -4.00 eV per atom

Cell lengths 5.293, 5.293, 5.293 Å; angles 90.00, 90.00, 90.00 degrees
Sites, in units of the cell vectors:
1 P 0.000 0.000 0.000
2 Ca 0.000 0.500 0.000
3 Ca 0.000 0.000 0.500
4 Ca 0.500 0.000 0.000
5 O 0.500 0.500 0.500

---

# 11
# CaP2O6

Crystalline CaP2O6 at its relaxed geometry (PBEsol, Alexandria).

Raw total energy = -7.54 eV per atom

Cell lengths 6.747, 12.121, 12.121 Å; angles 111.13, 92.64, 92.64 degrees
Sites, in units of the cell vectors:
1 Ca 0.707 0.968 0.352
2 Ca 0.207 0.352 0.968
3 Ca 0.183 0.864 0.483
4 Ca 0.683 0.483 0.864
5 Ca 0.701 0.365 0.468
6 Ca 0.201 0.468 0.365
7 Ca 0.189 0.984 0.849
8 Ca 0.689 0.849 0.984
9 O 0.998 0.987 0.011
10 O 0.498 0.011 0.987
11 O 0.232 0.906 0.120
12 O 0.732 0.120 0.906
13 O 0.912 0.986 0.212
14 O 0.412 0.212 0.986
15 O 0.197 0.124 0.192
16 O 0.697 0.192 0.124
17 O 0.464 0.088 0.328
18 O 0.964 0.328 0.088
19 O 0.410 0.298 0.330
20 O 0.910 0.330 0.298
21 O 0.158 0.199 0.409
22 O 0.658 0.409 0.199
23 O 0.823 0.193 0.484
24 O 0.323 0.484 0.193
25 O 0.051 0.035 0.484
26 O 0.551 0.484 0.035
27 O 0.131 0.251 0.625
28 O 0.631 0.625 0.251
29 O 0.455 0.355 0.594
30 O 0.955 0.594 0.355
31 O 0.368 0.359 0.798
32 O 0.868 0.798 0.359
33 O 0.460 0.170 0.634
34 O 0.960 0.634 0.170
35 O 0.528 0.964 0.512
36 O 0.028 0.512 0.964
37 O 0.396 0.006 0.714
38 O 0.896 0.714 0.006
39 O 0.751 0.081 0.693
40 O 0.251 0.693 0.081
41 O 0.778 0.296 0.835
42 O 0.278 0.835 0.296
43 O 0.054 0.158 0.833
44 O 0.554 0.833 0.158
45 O 0.181 0.578 0.754
46 O 0.681 0.754 0.578
47 O 0.504 0.655 0.875
48 O 0.004 0.875 0.655
49 O 0.293 0.798 0.818
50 O 0.793 0.818 0.798
51 O 0.471 0.635 0.665
52 O 0.971 0.665 0.635
53 O 0.324 0.699 0.499
54 O 0.824 0.499 0.699
55 O 0.558 0.535 0.461
56 O 0.058 0.461 0.535
57 P 0.069 0.999 0.135
58 P 0.569 0.135 0.999
59 P 0.327 0.176 0.317
60 P 0.827 0.317 0.176
61 P 0.033 0.162 0.499
62 P 0.533 0.499 0.162
63 P 0.361 0.293 0.666
64 P 0.861 0.666 0.293
65 P 0.526 0.048 0.638
66 P 0.026 0.638 0.048
67 P 0.836 0.175 0.820
68 P 0.336 0.820 0.175
69 P 0.364 0.677 0.786
70 P 0.864 0.786 0.677
71 P 0.502 0.654 0.543
72 P 0.002 0.543 0.654

---

# 12
# CaP2O6

Crystalline CaP2O6 at its relaxed geometry (PBEsol, Alexandria).

Raw total energy = -7.56 eV per atom

Cell lengths 6.993, 7.740, 16.993 Å; angles 90.00, 90.31, 90.00 degrees
Sites, in units of the cell vectors:
1 Ca 0.024 0.114 0.397
2 Ca 0.976 0.614 0.103
3 Ca 0.976 0.886 0.603
4 Ca 0.024 0.386 0.897
5 Ca 0.517 0.134 0.329
6 Ca 0.483 0.634 0.171
7 Ca 0.483 0.866 0.671
8 Ca 0.517 0.366 0.829
9 O 0.722 0.676 0.619
10 O 0.278 0.176 0.881
11 O 0.278 0.324 0.381
12 O 0.722 0.824 0.119
13 O 0.697 0.178 0.453
14 O 0.303 0.678 0.047
15 O 0.303 0.822 0.547
16 O 0.697 0.322 0.953
17 O 0.073 0.160 0.534
18 O 0.927 0.660 0.966
19 O 0.927 0.840 0.466
20 O 0.073 0.340 0.034
21 O 0.260 0.090 0.657
22 O 0.740 0.590 0.843
23 O 0.740 0.910 0.343
24 O 0.260 0.410 0.157
25 O 0.734 0.376 0.567
26 O 0.266 0.876 0.933
27 O 0.266 0.624 0.433
28 O 0.734 0.124 0.067
29 O 0.203 0.406 0.617
30 O 0.797 0.906 0.883
31 O 0.797 0.594 0.383
32 O 0.203 0.094 0.117
33 O 0.909 0.446 0.693
34 O 0.091 0.946 0.807
35 O 0.091 0.554 0.307
36 O 0.909 0.054 0.193
37 O 0.841 0.311 0.319
38 O 0.159 0.811 0.181
39 O 0.159 0.689 0.681
40 O 0.841 0.189 0.819
41 O 0.798 0.580 0.230
42 O 0.202 0.080 0.270
43 O 0.202 0.420 0.770
44 O 0.798 0.920 0.730
45 O 0.582 0.760 0.463
46 O 0.418 0.260 0.037
47 O 0.418 0.240 0.537
48 O 0.582 0.740 0.963
49 O 0.680 0.448 0.093
50 O 0.320 0.948 0.407
51 O 0.320 0.552 0.907
52 O 0.680 0.052 0.593
53 O 0.557 0.432 0.696
54 O 0.443 0.932 0.804
55 O 0.443 0.568 0.304
56 O 0.557 0.068 0.196
57 P 0.642 0.198 0.537
58 P 0.358 0.698 0.963
59 P 0.358 0.802 0.463
60 P 0.642 0.302 0.037
61 P 0.232 0.212 0.588
62 P 0.768 0.712 0.912
63 P 0.768 0.788 0.412
64 P 0.232 0.288 0.088
65 P 0.718 0.491 0.646
66 P 0.282 0.991 0.854
67 P 0.282 0.509 0.354
68 P 0.718 0.009 0.146
69 P 0.130 0.500 0.695
70 P 0.870 0.000 0.805
71 P 0.870 0.500 0.305
72 P 0.130 0.000 0.195

---

Please write out number 3 again, unchanged.
# CaO2

Crystalline CaO2 at its relaxed geometry (PBEsol, Alexandria).

Raw total energy = -6.13 eV per atom

Cell lengths 3.254, 3.254, 4.081 Å; angles 113.50, 113.50, 90.00 degrees
Sites, in units of the cell vectors:
1 Ca 0.500 0.500 0.000
2 O 0.111 0.111 0.222
3 O 0.889 0.889 0.778